Record 1
PBE Pa3GaSe6, optimized geometry; crystal system = orthorhombic; uncorrected formation energy = -1131 meV per atom; mass density = 7.64 g cm⁻³
1.0
-3.4007 -5.8059 2.6925
6.6517 -1.3682 5.4510
-5.1661 5.2041 4.6967
Ga Pa Se
2 6 12
direct
0.9981 0.1807 0.8193 Ga
0.4981 0.8193 0.1807 Ga
0.9831 0.0777 0.2781 Pa
0.4831 0.9223 0.7219 Pa
0.3769 0.4034 0.5966 Pa
0.9831 0.7219 0.9223 Pa
0.4831 0.2781 0.0777 Pa
0.8769 0.5966 0.4034 Pa
0.2197 0.0916 0.5497 Se
0.2197 0.4503 0.9084 Se
0.1150 0.7642 0.2358 Se
0.6774 0.2959 0.3746 Se
0.7349 0.9910 0.0090 Se
0.7197 0.5497 0.0916 Se
0.1774 0.7041 0.6254 Se
0.7197 0.9084 0.4503 Se
0.6150 0.2358 0.7642 Se
0.1774 0.3746 0.2959 Se
0.6774 0.6254 0.7041 Se
0.2349 0.0090 0.9910 Se


Record 2
PBE SmHgRhAu, optimized geometry; crystal system = cubic; mass density = 13.05 g cm⁻³; energy of formation = -0.434 eV/atom
1.0
-2.0003 -0.3886 -4.4480
-4.0501 -2.6699 -0.6361
-4.2577 2.2068 -0.9688
Au Rh Hg Sm
1 1 1 1
direct
0.7500 0.7500 0.7500 Au
0.2500 0.2500 0.2500 Rh
0.0000 0.0000 0.0000 Hg
0.5000 0.5000 0.5000 Sm


Record 3
PBE SrSi6Pd12, optimized geometry; crystal system = trigonal; uncorrected formation energy = -674 meV per atom; mass density = 8.10 g cm⁻³
1.0
-2.2460 -4.7649 -4.7958
-0.7406 -3.2047 6.3190
-4.8932 5.1770 -0.0640
Si Pd Sr
6 12 1
direct
0.3189 0.7535 0.7535 Si
0.7535 0.7535 0.3189 Si
0.2465 0.2465 0.6811 Si
0.7535 0.3189 0.7535 Si
0.2465 0.6811 0.2465 Si
0.6811 0.2465 0.2465 Si
0.8734 0.1266 0.5000 Pd
0.5571 0.8244 0.5571 Pd
0.4429 0.4429 0.1756 Pd
0.8734 0.5000 0.1266 Pd
0.8244 0.5571 0.5571 Pd
0.4429 0.1756 0.4429 Pd
0.1266 0.8734 0.5000 Pd
0.5571 0.5571 0.8244 Pd
0.5000 0.8734 0.1266 Pd
0.1266 0.5000 0.8734 Pd
0.1756 0.4429 0.4429 Pd
0.5000 0.1266 0.8734 Pd
0.0000 0.0000 0.0000 Sr


Which formula does entry 1 have?
Pa3GaSe6